# 1
VASP calculation (PBE) on an optimized crystal structure of TbCeErPa.

a = 5.520 Å, b = 5.520 Å, c = 5.520 Å
α = 60.00°, β = 60.00°, γ = 60.00°
Element x y z (fractional)
Tb1 0.000 0.000 0.000
Ce1 0.500 0.500 0.500
Er1 0.750 0.750 0.750
Pa1 0.250 0.250 0.250

Results
The density of states at the Fermi level is 11.4 states/eV per cell. The value obtained for the energy of formation from the pure elements is 0.3662 eV per atom.



# 2
VASP calculation (PBE) on an optimized crystal structure of CeErPaTc.

a = 5.008 Å, b = 5.008 Å, c = 5.008 Å
α = 60.00°, β = 60.00°, γ = 60.00°
Element x y z (fractional)
Ce1 0.000 0.000 0.000
Er1 0.750 0.750 0.750
Pa1 0.250 0.250 0.250
Tc1 0.500 0.500 0.500

Results
The density of states at the Fermi level is 9.4 states/eV per cell. The value obtained for the energy of formation from the pure elements is 0.1128 eV per atom.



# 3
VASP calculation (PBE) on an optimized crystal structure of CeEr2PaTc2.

a = 8.209 Å, b = 8.209 Å, c = 8.209 Å
α = 130.55°, β = 71.71°, γ = 131.58°
Element x y z (fractional)
Ce1 0.250 0.250 0.000
Ce2 0.750 0.750 0.000
Er1 0.193 0.705 0.898
Er2 0.307 0.205 0.512
Er3 0.693 0.795 0.488
Er4 0.807 0.295 0.102
Pa1 0.250 0.750 0.500
Pa2 0.750 0.250 0.500
Tc1 0.094 0.274 0.368
Tc2 0.406 0.774 0.180
Tc3 0.594 0.226 0.820
Tc4 0.906 0.726 0.632

Results
The density of states at the Fermi level is 14.2 states/eV per cell. The value obtained for the energy of formation from the pure elements is -0.0255 eV per atom.



Among the records above, which one has the highest energy of formation from the pure elements? TbCeErPa



The highest energy of formation from the pure elements belongs to which entry? TbCeErPa